(1)
This record from Alexandria describes an optimized crystal structure of Nd3YIr. The functional is PBE.

Cell and atoms, written as extended XYZ:
```
10
Lattice="6.390 0.000 0.000 0.000 6.679 -0.001 0.000 0.001 7.851" Properties=species:S:1:pos:R:3 pbc="T T T"
Nd 2.698 2.185 1.576
Nd 2.719 5.771 7.449
Nd 5.913 3.265 3.524
Nd 5.894 0.171 5.501
Nd 5.913 3.266 7.478
Nd 2.718 5.770 3.552
Y 2.748 2.260 5.501
Y 5.943 0.096 1.575
Ir 1.119 4.493 5.501
Ir 4.314 4.543 1.576
```

Output
Energy above the lowest structure with this stoichiometry, meV/atom: 0
Space-group type: No. 31
D(E_F), states/eV per atom: 1.3001
Formation energy from the elements, eV/atom: -0.25

(2)
This record from Alexandria describes an optimized crystal structure of NdZnFe. The functional is PBE.

Cell and atoms, written as extended XYZ:
```
6
Lattice="-0.810 3.271 2.039 -5.146 -2.776 -1.396 1.619 -2.741 5.040" Properties=species:S:1:pos:R:3 pbc="T T T"
Nd 0.156 -2.438 3.974
Nd -4.494 0.193 1.709
Fe -3.731 -2.560 2.624
Fe -0.607 0.314 3.059
Zn -1.696 -1.405 1.579
Zn -2.642 -0.841 4.103
```

Output
Space-group type: No. 12
D(E_F), states/eV per atom: 0.7857
Formation energy from the elements, eV/atom: 0.03

(3)
This record from Alexandria describes an optimized crystal structure of TaFeCuIr. The functional is PBE.

Cell and atoms, written as extended XYZ:
```
4
Lattice="-1.489 -0.894 3.926 2.514 -2.006 2.844 1.513 2.131 3.406" Properties=species:S:1:pos:R:3 pbc="T T T"
Ir 0.634 -0.192 2.544
Fe 1.903 -0.576 7.631
Cu 0.000 0.000 0.000
Ta 1.269 -0.384 5.087
```

Output
Space-group type: No. 216
D(E_F), states/eV per atom: 0.9589
Formation energy from the elements, eV/atom: -0.16

Question: Number 3 is which compound?
Answer: TaFeCuIr

Question: The highest formation energy from the elements belongs to which entry?
Answer: NdZnFe